ZrCo3Cu PBE-GGA relaxed; density = 6.0 Mg/m³; polymorph energy (0 for the lowest one) = 777 meV/atom
1.0
4.521 0.000 0.000
0.000 4.521 0.000
0.000 0.000 4.521
Zr Co Cu
1 3 1
Direct
0.000 0.000 0.000 Zr
0.000 0.000 0.500 Co
0.000 0.500 0.000 Co
0.500 0.000 0.000 Co
0.500 0.500 0.500 Cu


Zr3Co7Cu2 PBE-GGA relaxed; density = 8.3 Mg/m³
1.0
2.424 1.400 7.975
-2.424 1.400 7.975
0.000 -2.799 7.975
Zr Co Cu
3 7 2
Direct
0.000 0.000 0.000 Zr
0.139 0.139 0.139 Zr
0.861 0.861 0.861 Zr
0.081 0.586 0.586 Co
0.414 0.414 0.919 Co
0.414 0.919 0.414 Co
0.500 0.500 0.500 Co
0.586 0.081 0.586 Co
0.586 0.586 0.081 Co
0.919 0.414 0.414 Co
0.334 0.334 0.334 Cu
0.666 0.666 0.666 Cu


ZrCo2Cu PBE-GGA relaxed; density = 8.2 Mg/m³
1.0
3.156 0.000 0.000
0.000 3.178 0.000
0.000 0.000 5.516
Zr Co Cu
1 2 1
Direct
0.000 0.000 0.000 Zr
0.500 0.500 0.279 Co
0.500 0.500 0.721 Co
0.000 0.000 0.500 Cu


ZrCoCu2 PBE-GGA relaxed; density = 7.9 Mg/m³
1.0
2.797 0.000 0.000
-1.399 2.423 0.000
0.000 0.000 25.935
Zr Co Cu
3 3 6
Direct
0.000 0.000 0.000 Zr
0.333 0.667 0.667 Zr
0.667 0.333 0.333 Zr
0.000 0.000 0.756 Co
0.333 0.667 0.423 Co
0.667 0.333 0.090 Co
0.000 0.000 0.240 Cu
0.000 0.000 0.498 Cu
0.333 0.667 0.165 Cu
0.333 0.667 0.907 Cu
0.667 0.333 0.574 Cu
0.667 0.333 0.831 Cu


Zr8Co2Cu PBE-GGA relaxed; density = 6.7 Mg/m³
1.0
8.393 -1.657 0.000
8.393 1.657 0.000
-1.988 0.000 8.099
Zr Co Cu
8 2 1
Direct
0.007 0.007 0.254 Zr
0.200 0.200 0.343 Zr
0.338 0.338 0.029 Zr
0.399 0.399 0.443 Zr
0.601 0.601 0.557 Zr
0.662 0.662 0.971 Zr
0.800 0.800 0.657 Zr
0.993 0.993 0.746 Zr
0.198 0.198 0.765 Co
0.802 0.802 0.235 Co
0.500 0.500 0.000 Cu


ZrCo3Cu PBE-GGA relaxed; density = 7.0 Mg/m³; polymorph energy (0 for the lowest one) = 0 meV/atom
1.0
4.276 0.000 0.000
0.000 4.276 0.000
0.000 0.000 4.276
Zr Co Cu
1 3 1
Direct
0.000 0.000 0.000 Zr
0.000 0.500 0.500 Co
0.500 0.000 0.500 Co
0.500 0.500 0.000 Co
0.500 0.500 0.500 Cu


Zr7Co2Cu2 PBE-GGA relaxed; density = 6.6 Mg/m³
1.0
3.506 -4.957 0.000
3.506 4.957 0.000
0.000 0.000 6.425
Zr Co Cu
7 2 2
Direct
0.000 0.000 0.000 Zr
0.000 0.500 0.262 Zr
0.000 0.500 0.738 Zr
0.500 0.000 0.262 Zr
0.500 0.000 0.738 Zr
0.500 0.500 0.256 Zr
0.500 0.500 0.744 Zr
0.289 0.711 0.000 Co
0.711 0.289 0.000 Co
0.168 0.168 0.500 Cu
0.832 0.832 0.500 Cu


ZrCoCu2 PBE-GGA relaxed; density = 8.0 Mg/m³
1.0
3.192 0.000 0.000
0.000 3.279 0.000
0.000 0.000 5.484
Zr Co Cu
1 1 2
Direct
0.000 0.000 0.000 Zr
0.500 0.500 0.762 Co
0.000 0.000 0.509 Cu
0.500 0.500 0.305 Cu


ZrCoCu2 PBE-GGA relaxed; density = 8.2 Mg/m³
1.0
3.848 0.000 0.000
0.000 3.848 0.000
0.000 0.000 7.575
Zr Co Cu
2 2 4
Direct
0.000 0.000 0.000 Zr
0.500 0.500 0.500 Zr
0.000 0.500 0.250 Co
0.500 0.000 0.750 Co
0.000 0.000 0.500 Cu
0.000 0.500 0.750 Cu
0.500 0.000 0.250 Cu
0.500 0.500 0.000 Cu


ZrCo2Cu PBE-GGA relaxed; density = 8.1 Mg/m³
1.0
2.906 0.000 0.000
0.000 3.552 0.000
0.000 0.000 5.398
Zr Co Cu
1 2 1
Direct
0.000 0.000 0.000 Zr
0.000 0.000 0.521 Co
0.500 0.500 0.733 Co
0.500 0.500 0.291 Cu


ΔE_f (computed, eV per atom): 1.58 -0.22 -0.04 0.28 -0.07 0.81 0.09 -0.05 -0.08 0.02